Below is Tc3WC after structural relaxation, with properties calculated at the PBE-GGA level.

abc: 4.063 4.063 4.063
angles: 90.00 90.00 90.00
Positions (direct):
1 Tc 0.000 0.000 0.500
2 Tc 0.000 0.500 0.000
3 Tc 0.500 0.000 0.000
4 W 0.500 0.500 0.500
5 C 0.000 0.000 0.000

Computed properties:
Its volume is 67.1 Å³/cell. The value obtained for the spin magnetization is 0.0 μB/cell. Its space group is Pm-3m, No. 221. The value obtained for the formation energy from the elements is 0.080 eV/atom. The calculation puts the relative energy among the computed polymorphs at 0.000 eV per atom. As for the density of states at the Fermi level: 2.6 states/eV/cell.

=====

Below is CaAlRhS2 after structural relaxation, with properties calculated at the PBE-GGA level.

abc: 4.749 4.749 4.521
angles: 90.00 90.00 90.00
Positions (direct):
1 Ca 0.000 0.000 0.000
2 Al 0.500 0.500 0.500
3 Rh 0.500 0.500 0.000
4 S 0.000 0.500 0.500
5 S 0.500 0.000 0.500

Computed properties:
The formation energy from raw total energies comes out at -42.2 kJ/mol of atoms. Its volume is 102.0 Å³/cell. The value obtained for the spin magnetization is 0.0 μB/cell. Its space group is P4/mmm, No. 123. As for the density of states at the Fermi level: 3.4 states/eV/cell.

=====

Below is La2NdH after structural relaxation, with properties calculated at the PBE-GGA level.

abc: 9.248 9.248 9.248
angles: 23.60 23.60 23.60
Positions (direct):
1 La 0.222 0.222 0.222
2 La 0.778 0.778 0.778
3 Nd 0.000 0.000 0.000
4 H 0.500 0.500 0.500

Computed properties:
Its volume is 111.4 Å³/cell. The value obtained for the spin magnetization is 0.0 μB/cell. Its space group is R-3m, No. 166. The calculation puts the relative energy among the computed polymorphs at 0.004 eV per atom. As for the density of states at the Fermi level: 3.7 states/eV/cell.

=====

Below is Rb3P2Se4 after structural relaxation, with properties calculated at the PBE-GGA level.

abc: 9.000 9.000 9.475
angles: 90.78 90.78 60.78
Positions (direct):
1 Rb 0.042 0.958 0.750
2 Rb 0.247 0.475 0.371
3 Rb 0.475 0.247 0.871
4 Rb 0.525 0.753 0.129
5 Rb 0.753 0.525 0.629
6 Rb 0.958 0.042 0.250
7 P 0.038 0.362 0.967
8 P 0.362 0.038 0.467
9 P 0.638 0.962 0.533
10 P 0.962 0.638 0.033
11 Se 0.193 0.225 0.629
12 Se 0.204 0.650 0.026
13 Se 0.225 0.193 0.129
14 Se 0.350 0.796 0.474
15 Se 0.650 0.204 0.526
16 Se 0.775 0.807 0.871
17 Se 0.796 0.350 0.974
18 Se 0.807 0.775 0.371

Computed properties:
The formation energy from raw total energies comes out at -70.1 kJ/mol of atoms. Its volume is 669.7 Å³/cell. The value obtained for the spin magnetization is 0.0 μB/cell. Its space group is C2/c, No. 15. As for the density of states at the Fermi level: 5.2 states/eV/cell.

=====

Below is BaCd2InIr after structural relaxation, with properties calculated at the PBE-GGA level.

abc: 5.243 5.243 6.719
angles: 90.00 90.00 90.00
Positions (direct):
1 Ba 0.000 0.000 0.000
2 Cd 0.000 0.500 0.500
3 Cd 0.500 0.000 0.500
4 In 0.000 0.000 0.500
5 Ir 0.500 0.500 0.000

Computed properties:
Its volume is 184.7 Å³/cell. The value obtained for the spin magnetization is 1.3 μB/cell. Its space group is P4/mmm, No. 123. The value obtained for the formation energy from the elements is 0.884 eV/atom. The calculation puts the relative energy among the computed polymorphs at 1.134 eV per atom. As for the density of states at the Fermi level: 5.2 states/eV/cell.

=====

Below is Ta2InW after structural relaxation, with properties calculated at the PBE-GGA level.

abc: 10.233 10.233 10.233
angles: 16.41 16.41 16.41
Positions (direct):
1 Ta 0.248 0.248 0.248
2 Ta 0.752 0.752 0.752
3 In 0.000 0.000 0.000
4 W 0.500 0.500 0.500

Computed properties:
Its volume is 74.6 Å³/cell. The value obtained for the spin magnetization is 0.0 μB/cell. Its space group is R-3m, No. 166. The value obtained for the formation energy from the elements is 0.383 eV/atom. As for the density of states at the Fermi level: 4.0 states/eV/cell.

=====

Below is Ba2NdCu3O6 after structural relaxation, with properties calculated at the PBE-GGA level.

abc: 3.924 3.924 12.186
angles: 90.00 90.00 90.00
Positions (direct):
1 Ba 0.000 0.000 0.194
2 Ba 0.000 0.000 0.806
3 Nd 0.000 0.000 0.500
4 Cu 0.500 0.500 0.000
5 Cu 0.500 0.500 0.361
6 Cu 0.500 0.500 0.639
7 O 0.000 0.500 0.374
8 O 0.000 0.500 0.626
9 O 0.500 0.000 0.374
10 O 0.500 0.000 0.626
11 O 0.500 0.500 0.148
12 O 0.500 0.500 0.852

Computed properties:
The formation energy from raw total energies comes out at -178.7 kJ/mol of atoms. Its volume is 187.6 Å³/cell. The value obtained for the spin magnetization is 0.1 μB/cell. Its space group is P4/mmm, No. 123. As for the density of states at the Fermi level: 7.6 states/eV/cell.

=====

Below is CdIn14Pb after structural relaxation, with properties calculated at the PBE-GGA level.

abc: 7.140 7.140 8.561
angles: 90.00 90.00 90.00
Positions (direct):
1 Cd 0.000 0.000 0.000
2 In 0.000 0.000 0.500
3 In 0.000 0.500 0.000
4 In 0.000 0.500 0.500
5 In 0.244 0.244 0.251
6 In 0.244 0.244 0.749
7 In 0.244 0.756 0.251
8 In 0.244 0.756 0.749
9 In 0.500 0.000 0.000
10 In 0.500 0.000 0.500
11 In 0.500 0.500 0.500
12 In 0.756 0.244 0.251
13 In 0.756 0.244 0.749
14 In 0.756 0.756 0.251
15 In 0.756 0.756 0.749
16 Pb 0.500 0.500 0.000

Computed properties:
Its volume is 436.4 Å³/cell. The value obtained for the spin magnetization is 0.0 μB/cell. Its space group is P4/mmm, No. 123. The value obtained for the formation energy from the elements is 0.020 eV/atom. As for the density of states at the Fermi level: 8.2 states/eV/cell.

=====

Below is TiNb2Ag2S6 after structural relaxation, with properties calculated at the PBE-GGA level.

abc: 6.148 6.148 6.728
angles: 94.33 94.33 121.58
Positions (direct):
1 Ti 0.000 0.000 0.000
2 Nb 0.367 0.633 0.000
3 Nb 0.633 0.367 0.000
4 Ag 0.351 0.649 0.500
5 Ag 0.649 0.351 0.500
6 S 0.024 0.361 0.205
7 S 0.270 0.270 0.753
8 S 0.361 0.024 0.205
9 S 0.639 0.976 0.795
10 S 0.730 0.730 0.247
11 S 0.976 0.639 0.795

Computed properties:
The formation energy from raw total energies comes out at -79.3 kJ/mol of atoms. Its volume is 214.0 Å³/cell. The value obtained for the spin magnetization is 0.0 μB/cell. Its space group is C2/m, No. 12. As for the density of states at the Fermi level: 4.2 states/eV/cell.

=====

Below is ScBe2Se after structural relaxation, with properties calculated at the PBE-GGA level.

abc: 3.257 3.257 5.602
angles: 90.00 90.00 90.00
Positions (direct):
1 Sc 0.000 0.000 0.000
2 Be 0.000 0.000 0.534
3 Be 0.500 0.500 0.676
4 Se 0.500 0.500 0.272

Computed properties:
The formation energy from raw total energies comes out at -11.8 kJ/mol of atoms. Its volume is 59.4 Å³/cell. The value obtained for the spin magnetization is 0.6 μB/cell. Its space group is P4mm, No. 99. As for the density of states at the Fermi level: 2.1 states/eV/cell.

=====

Below is Hf4HSe after structural relaxation, with properties calculated at the PBE-GGA level.

abc: 6.758 6.758 6.758
angles: 105.86 105.86 116.97
Positions (direct):
1 Hf 0.138 0.446 0.692
2 Hf 0.196 0.004 0.808
3 Hf 0.196 0.388 0.192
4 Hf 0.267 0.000 0.267
5 Hf 0.733 0.000 0.733
6 Hf 0.750 0.517 0.767
7 Hf 0.750 0.983 0.233
8 Hf 0.754 0.446 0.308
9 H 0.735 0.235 0.500
10 H 0.985 0.985 0.000
11 Se 0.250 0.750 0.500
12 Se 0.500 0.500 0.000

Computed properties:
Its volume is 234.5 Å³/cell. The value obtained for the spin magnetization is 0.0 μB/cell. Its space group is I4_1md, No. 109. The calculation puts the raw total energy at -7.9696 eV/atom. As for the density of states at the Fermi level: 9.1 states/eV/cell.

=====

Below is Ac5Al2Tl5 after structural relaxation, with properties calculated at the PBE-GGA level.

abc: 9.103 9.103 11.747
angles: 127.94 127.94 31.83
Positions (direct):
1 Ac 0.000 0.000 0.000
2 Ac 0.106 0.106 0.424
3 Ac 0.189 0.189 0.823
4 Ac 0.811 0.811 0.177
5 Ac 0.894 0.894 0.576
6 Al 0.354 0.354 0.730
7 Al 0.646 0.646 0.270
8 Tl 0.253 0.253 0.317
9 Tl 0.438 0.438 0.140
10 Tl 0.500 0.500 0.500
11 Tl 0.562 0.562 0.860
12 Tl 0.747 0.747 0.683

Computed properties:
Its volume is 394.7 Å³/cell. The value obtained for the spin magnetization is 0.0 μB/cell. Its space group is C2/m, No. 12. The value obtained for the formation energy from the elements is -0.299 eV/atom. As for the density of states at the Fermi level: 9.7 states/eV/cell.

=====

Below is LiTm6Se8 after structural relaxation, with properties calculated at the PBE-GGA level.

abc: 7.990 7.990 7.990
angles: 60.00 60.00 60.00
Positions (direct):
1 Li 0.000 0.000 0.000
2 Tm 0.000 0.000 0.500
3 Tm 0.000 0.500 0.000
4 Tm 0.000 0.500 0.500
5 Tm 0.500 0.000 0.000
6 Tm 0.500 0.000 0.500
7 Tm 0.500 0.500 0.000
8 Se 0.248 0.248 0.752
9 Se 0.248 0.752 0.248
10 Se 0.248 0.752 0.752
11 Se 0.250 0.250 0.250
12 Se 0.750 0.750 0.750
13 Se 0.752 0.248 0.248
14 Se 0.752 0.248 0.752
15 Se 0.752 0.752 0.248

Computed properties:
The formation energy from raw total energies comes out at -168.5 kJ/mol of atoms. Its volume is 360.6 Å³/cell. The value obtained for the spin magnetization is 0.0 μB/cell. Its space group is Fm-3m, No. 225. As for the density of states at the Fermi level: 4.2 states/eV/cell.

=====

Below is Co2S3 after structural relaxation, with properties calculated at the PBE-GGA level.

abc: 5.993 5.993 5.993
angles: 56.60 56.60 56.60
Positions (direct):
1 Co 0.150 0.150 0.150
2 Co 0.350 0.350 0.350
3 Co 0.650 0.650 0.650
4 Co 0.850 0.850 0.850
5 S 0.053 0.750 0.447
6 S 0.250 0.553 0.947
7 S 0.447 0.053 0.750
8 S 0.553 0.947 0.250
9 S 0.750 0.447 0.053
10 S 0.947 0.250 0.553

Computed properties:
The formation energy from raw total energies comes out at -38.3 kJ/mol of atoms. Its volume is 140.3 Å³/cell. The value obtained for the spin magnetization is 0.0 μB/cell. Its space group is R-3c, No. 167. As for the density of states at the Fermi level: 1.7 states/eV/cell.

=====

Below is TaAlIn2 after structural relaxation, with properties calculated at the PBE-GGA level.

abc: 5.300 5.300 3.110
angles: 90.00 90.00 113.92
Positions (direct):
1 Ta 0.000 0.000 0.000
2 Al 0.500 0.500 0.000
3 In 0.000 0.500 0.500
4 In 0.500 0.000 0.500

Computed properties:
Its volume is 79.8 Å³/cell. The value obtained for the spin magnetization is 0.0 μB/cell. Its space group is Cmmm, No. 65. The value obtained for the formation energy from the elements is 0.222 eV/atom. As for the density of states at the Fermi level: 2.0 states/eV/cell.

=====

Below is NaAgSnBr6 after structural relaxation, with properties calculated at the PBE-GGA level.

abc: 7.137 7.137 6.613
angles: 90.00 90.00 120.00
Positions (direct):
1 Na 0.000 0.000 0.000
2 Ag 0.333 0.667 0.500
3 Sn 0.667 0.333 0.500
4 Br 0.368 0.023 0.733
5 Br 0.368 0.345 0.267
6 Br 0.655 0.023 0.267
7 Br 0.655 0.632 0.733
8 Br 0.977 0.345 0.733
9 Br 0.977 0.632 0.267

Computed properties:
The formation energy from raw total energies comes out at -71.8 kJ/mol of atoms. Its volume is 291.7 Å³/cell. The value obtained for the spin magnetization is 0.0 μB/cell. Its space group is P312, No. 149.

=====

Below is TiZnPdRu2 after structural relaxation, with properties calculated at the PBE-GGA level.

abc: 4.454 4.454 4.502
angles: 90.00 90.00 90.00
Positions (direct):
1 Ti 0.000 0.000 0.000
2 Zn 0.000 0.000 0.500
3 Pd 0.500 0.500 0.000
4 Ru 0.000 0.500 0.500
5 Ru 0.500 0.000 0.500

Computed properties:
Its volume is 89.3 Å³/cell. The value obtained for the spin magnetization is 0.0 μB/cell. Its space group is P4/mmm, No. 123. The value obtained for the formation energy from the elements is 1.137 eV/atom. As for the density of states at the Fermi level: 5.0 states/eV/cell.

=====

Below is Tb3Pm2Sc3 after structural relaxation, with properties calculated at the PBE-GGA level.

abc: 11.710 11.710 6.011
angles: 104.63 104.63 17.23
Positions (direct):
1 Tb 0.000 0.000 0.000
2 Tb 0.122 0.122 0.463
3 Tb 0.878 0.878 0.537
4 Pm 0.246 0.246 0.241
5 Pm 0.754 0.754 0.759
6 Sc 0.378 0.378 0.045
7 Sc 0.500 0.500 0.500
8 Sc 0.622 0.622 0.955

Computed properties:
Its volume is 236.0 Å³/cell. The value obtained for the spin magnetization is 0.0 μB/cell. Its space group is C2/m, No. 12. The value obtained for the formation energy from the elements is 0.034 eV/atom. The calculation puts the relative energy among the computed polymorphs at 0.000 eV per atom. As for the density of states at the Fermi level: 12.1 states/eV/cell.

=====

Below is ReSi2Os after structural relaxation, with properties calculated at the PBE-GGA level.

abc: 4.905 4.905 4.905
angles: 136.96 136.96 62.50
Positions (direct):
1 Re 0.000 0.000 0.000
2 Si 0.250 0.750 0.500
3 Si 0.500 0.500 0.000
4 Os 0.750 0.250 0.500

Computed properties:
The formation energy from raw total energies comes out at 13.2 kJ/mol of atoms. Its volume is 54.3 Å³/cell. The value obtained for the spin magnetization is 0.0 μB/cell. Its space group is I-4m2, No. 119. As for the density of states at the Fermi level: 2.7 states/eV/cell.

=====

Below is Mg2As after structural relaxation, with properties calculated at the PBE-GGA level.

abc: 4.912 4.912 3.037
angles: 90.00 90.00 120.00
Positions (direct):
1 Mg 0.333 0.667 0.000
2 Mg 0.667 0.333 0.000
3 As 0.000 0.000 0.500

Computed properties:
Its volume is 63.5 Å³/cell. The value obtained for the spin magnetization is 0.0 μB/cell. Its space group is P6/mmm, No. 191. The value obtained for the formation energy from the elements is 0.067 eV/atom. As for the density of states at the Fermi level: 1.5 states/eV/cell.